Material: K2AcRhO5
Method: DFT, PBE
State: optimized geometry

Cell: 3.8226 5.7668 12.9762 Å, 90.00 90.00 90.00°
Last column: nearest neighbours and their distance in Å.
Space group Immm (No. 71)
Asymmetric unit:
1 K 0.0000 0.0000 0.2137  7 O 2.74-2.81
2 Ac 0.0000 0.5000 0.0000  10 O 2.73-2.88
3 Rh 0.0000 0.5000 0.5000  6 O 1.91-2.02
4 O 0.0000 0.0000 0.0000  2 Rh 1.91
5 O 0.0000 0.2410 0.3953  1 Rh 2.02

Computed properties:
The magnetization is 1.784 μB/f.u. As for the calculated total energy: -5.95 eV per atom.

Material: K3Ac3RhO8
Method: DFT, PBE
State: optimized geometry

Cell: 7.3587 7.3587 18.9372 Å, 90.00 90.00 120.00°
Last column: nearest neighbours and their distance in Å.
Space group R-3m (No. 166, hexagonal axes)
Asymmetric unit:
1 K 0.0000 0.5000 0.0000  6 O 2.84-2.86
2 Ac 0.0000 0.5000 0.5000  6 O 2.47-2.54
3 Rh 0.0000 0.0000 0.5000  6 O 2.14
4 O 0.0000 0.0000 0.2336  3 Ac 2.47
5 O 0.0459 0.5230 0.2252  1 Rh 2.14

Computed properties:
The magnetization is 1.066 μB/f.u. As for the calculated total energy: -6.31 eV per atom.

Material: K2Ac2RhO6
Method: DFT, PBE
State: optimized geometry

Cell: 6.2864 10.7014 6.6053 Å, 90.00 102.68 90.00°
Last column: nearest neighbours and their distance in Å.
Space group C2/m (No. 12)
Asymmetric unit:
1 K 0.0000 0.1448 0.0000  4 O 2.68-2.75
2 Ac 0.0000 0.3373 0.5000  6 O 2.48-2.54
3 Rh 0.0000 0.0000 0.5000  6 O 2.08-2.12
4 O 0.1831 0.1475 0.6698  1 Rh 2.12
5 O 0.2303 0.0000 0.3168  1 Rh 2.08

Computed properties:
The magnetization is 1.070 μB/f.u. As for the calculated total energy: -6.31 eV per atom.

Material: KAcRhO3
Method: DFT, PBE
State: optimized geometry

Cell: 13.9773 3.9254 7.8716 Å, 90.00 106.13 90.00°
Last column: nearest neighbours and their distance in Å.
Space group C2/m (No. 12)
Asymmetric unit:
1 K 0.1400 0.0000 0.0625  7 O 2.84-3.05
2 Ac 0.1517 0.0000 0.5863  7 O 2.48-2.70
3 Rh 0.0064 0.5000 0.2800  4 O 1.96-2.14
4 O 0.0074 0.0000 0.2824  2 Rh 1.96
5 O 0.1501 0.5000 0.7891  1 Rh 2.10
6 O 0.1656 0.5000 0.3678  1 Rh 2.14

Computed properties:
The magnetization is 0.001 μB/f.u. As for the calculated total energy: -6.49 eV per atom.

Material: KAcRhO4
Method: DFT, PBE
State: optimized geometry

Cell: 6.1721 5.7533 7.5460 Å, 90.00 107.69 90.00°
Last column: nearest neighbours and their distance in Å.
Space group P2_1/m (No. 11)
Asymmetric unit:
1 K 0.1002 0.2500 0.1022  4 O 2.72-2.77
2 Ac 0.2169 0.7500 0.4848  6 O 2.52-2.63
3 Rh 0.3686 0.2500 0.7319  4 O 1.84-1.97
4 O 0.1208 0.0275 0.7164  1 Rh 1.97
5 O 0.3186 0.7500 0.1711  1 Rh 1.84
6 O 0.3559 0.2500 0.4706  1 Rh 1.95

Computed properties:
The magnetization is 0.949 μB/f.u. As for the calculated total energy: -6.31 eV per atom.

Material: K3Ac2RhO6
Method: DFT, PBE
State: optimized geometry

Cell: 6.2392 10.8194 6.6378 Å, 90.00 107.66 90.00°
Last column: nearest neighbours and their distance in Å.
Space group C2/m (No. 12)
Asymmetric unit:
1 K 0.0000 0.0000 0.0000  6 O 2.78-2.99
2 K 0.0000 0.3475 0.0000  4 O 2.70-2.74
3 Ac 0.0000 0.1677 0.5000  6 O 2.51-2.52
4 Rh 0.0000 0.5000 0.5000  6 O 2.22
5 O 0.2121 0.3519 0.6941  1 Rh 2.22
6 O 0.2371 0.5000 0.3097  1 Rh 2.22

Computed properties:
The magnetization is 0.000 μB/f.u. As for the calculated total energy: -6.00 eV per atom.

Material: K2AcRh3O8
Method: DFT, PBE
State: optimized geometry

Cell: 6.4887 6.4887 17.6401 Å, 90.00 90.00 120.00°
Last column: nearest neighbours and their distance in Å.
Space group R3m (No. 160, hexagonal axes)
Asymmetric unit:
1 K 0.0000 0.0000 0.0000  4 O 2.48-2.58
2 K 0.0000 0.0000 0.3661  6 O 2.55-2.58
3 Ac 0.0000 0.0000 0.7595  3 O 2.29
4 Rh 0.0060 0.5030 0.8716  6 O 1.98-2.19
5 O 0.0000 0.0000 0.1463  3 Rh 2.11
6 O 0.0000 0.0000 0.5998  3 Rh 2.19
7 O 0.0390 0.5195 0.1451  2 Rh 2.08, 1 Ac 2.29
8 O 0.1853 0.3705 0.9233  2 Rh 1.98

Computed properties:
The magnetization is 0.000 μB/f.u. As for the calculated total energy: -6.17 eV per atom.

Material: K2AcRhO4
Method: DFT, PBE
State: optimized geometry

Cell: 5.8364 3.5738 6.6537 Å, 90.00 108.55 90.00°
Last column: nearest neighbours and their distance in Å.
Space group P2/m (No. 10)
Asymmetric unit:
1 K 0.0000 0.0000 0.0000  6 O 2.88-2.93
2 K 0.5000 0.5000 0.0000  6 O 2.68-2.69
3 Ac 0.0000 0.5000 0.5000  6 O 2.47-2.49
4 Rh 0.5000 0.0000 0.5000  6 O 2.20-2.23
5 O 0.2671 0.0000 0.7031  1 Rh 2.20
6 O 0.3136 0.5000 0.3195  2 Rh 2.23, 1 Ac 2.49

Computed properties:
The magnetization is 0.000 μB/f.u. As for the calculated total energy: -5.84 eV per atom.

Material: K2AcRhO6
Method: DFT, PBE
State: optimized geometry

Cell: 6.2117 6.2066 10.7491 Å, 90.00 125.23 90.00°
Last column: nearest neighbours and their distance in Å.
Space group P2_1/c (No. 14)
Asymmetric unit:
1 K 0.2490 0.0002 0.2497  12 O 3.08-3.16
2 Ac 0.5000 0.0000 0.0000  6 O 2.44
3 Rh 0.0000 0.0000 0.5000  6 O 1.95
4 O 0.2160 0.2238 0.4962  1 Rh 1.95
5 O 0.2201 0.7199 0.9964  1 Rh 1.95
6 O 0.2287 0.0002 0.7218  1 Rh 1.95

Computed properties:
The magnetization is 4.025 μB/f.u. As for the calculated total energy: -5.79 eV per atom.

Material: K3Ac2RuO6
Method: DFT, PBE
State: optimized geometry

Cell: 6.2609 10.7580 6.6298 Å, 90.00 107.57 90.00°
Last column: nearest neighbours and their distance in Å.
Space group C2/m (No. 12)
Asymmetric unit:
1 K 0.0000 0.0000 0.0000  6 O 2.76-3.05
2 K 0.0000 0.3464 0.0000  4 O 2.71-2.74
3 Ac 0.0000 0.1694 0.5000  6 O 2.51-2.53
4 Ru 0.0000 0.5000 0.5000  6 O 2.16-2.24
5 O 0.2155 0.3514 0.6961  1 Ru 2.24
6 O 0.2312 0.5000 0.3144  1 Ru 2.16

Computed properties:
The magnetization is 1.010 μB/f.u. As for the calculated total energy: -6.14 eV per atom.

Material: K2AcRuO4
Method: DFT, PBE
State: optimized geometry

Cell: 6.3295 6.3295 7.2421 Å, 90.00 90.00 90.00°
Last column: nearest neighbours and their distance in Å.
Space group I-4 (No. 82)
Asymmetric unit:
1 K 0.0000 0.0000 0.0000  8 O 2.81-3.04
2 K 0.0000 0.5000 0.2500  4 O 2.59
3 Ac 0.0000 0.0000 0.5000  4 O 2.46
4 Ru 0.0000 0.5000 0.7500  4 O 1.97
5 O 0.1750 0.2452 0.7146  1 Ru 1.97

Computed properties:
The magnetization is 3.000 μB/f.u. As for the calculated total energy: -6.17 eV per atom.

Material: K4AcRu3O12
Method: DFT, PBE
State: optimized geometry

Cell: 8.3317 8.3317 8.3317 Å, 90.00 90.00 90.00°
Last column: nearest neighbours and their distance in Å.
Space group Im-3m (No. 229)
Asymmetric unit:
1 K 0.2500 0.2500 0.2500  12 O 2.95-2.96
2 Ac 0.0000 0.0000 0.0000  6 O 2.33
3 Ru 0.0000 0.0000 0.5000  2 O 1.84
4 O 0.0000 0.0000 0.2796  1 Ru 1.84
5 O 0.0000 0.2500 0.5000  2 Ru 2.08

Computed properties:
The magnetization is 0.862 μB/f.u. As for the calculated total energy: -6.08 eV per atom.

Material: KAc2RuO8
Method: DFT, PBE
State: optimized geometry

Cell: 4.4490 5.4146 7.6899 Å, 90.00 106.19 90.00°
Last column: nearest neighbours and their distance in Å.
Space group P2/m (No. 10)
Asymmetric unit:
1 K 0.0000 0.0000 0.0000  8 O 2.81-3.13
2 Ac 0.3747 0.5000 0.7096  10 O 2.60-2.74
3 Ru 0.0000 0.0000 0.5000  6 O 1.91-1.92
4 O 0.1638 0.5000 0.9956  1 O 1.48
5 O 0.1902 0.2595 0.3966  1 Ru 1.92
6 O 0.3375 0.0000 0.7180  1 Ru 1.91

Computed properties:
The magnetization is 0.835 μB/f.u. As for the calculated total energy: -6.74 eV per atom.

Material: KAcRuO5
Method: DFT, PBE
State: optimized geometry

Cell: 8.1466 10.4994 8.5903 Å, 90.00 113.25 90.00°
Last column: nearest neighbours and their distance in Å.
Space group C2/c (No. 15)
Asymmetric unit:
1 K 0.0000 0.1739 0.2500  1 O 2.58
2 Ac 0.0000 0.5000 0.0000  2 O 2.31
3 Ru 0.0000 0.1726 0.7500  4 O 1.80-1.81
4 O 0.0000 0.4194 0.2500  2 Ac 2.31, 1 K 2.58
5 O 0.0886 0.2717 0.6295  1 Ru 1.81
6 O 0.1665 0.0683 0.8947  1 Ru 1.80

Computed properties:
The magnetization is 2.011 μB/f.u. As for the calculated total energy: -6.66 eV per atom.

Material: K4Ac3RuO8
Method: DFT, PBE
State: optimized geometry

Cell: 7.3561 7.3561 18.9709 Å, 90.00 90.00 120.00°
Last column: nearest neighbours and their distance in Å.
Space group R-3m (No. 166, hexagonal axes)
Asymmetric unit:
1 K 0.0000 0.0000 0.0000  6 O 3.03
2 K 0.0000 0.5000 0.0000  6 O 2.82-2.83
3 Ac 0.0000 0.5000 0.5000  6 O 2.48-2.53
4 Ru 0.0000 0.0000 0.5000  6 O 2.27
5 O 0.0000 0.0000 0.2345  3 Ac 2.48
6 O 0.0305 0.5153 0.2302  1 Ru 2.27, 2 Ac 2.53

Computed properties:
The magnetization is 1.010 μB/f.u. As for the calculated total energy: -6.14 eV per atom.

Material: K2AcRuO6
Method: DFT, PBE
State: optimized geometry

Cell: 6.1639 6.1471 10.6620 Å, 90.00 125.23 90.00°
Last column: nearest neighbours and their distance in Å.
Space group P2_1/c (No. 14)
Asymmetric unit:
1 K 0.2485 0.0059 0.2492  9 O 2.91-3.14
2 Ac 0.5000 0.0000 0.0000  6 O 2.46
3 Ru 0.0000 0.0000 0.5000  6 O 1.91
4 O 0.1860 0.2354 0.4845  1 Ru 1.91
5 O 0.2185 0.7030 0.9846  1 Ru 1.91
6 O 0.2487 0.0024 0.7184  1 Ru 1.91

Computed properties:
The magnetization is 0.626 μB/f.u. As for the calculated total energy: -6.21 eV per atom.

Material: K2AcSO8
Method: DFT, PBE
State: optimized geometry

Cell: 5.6444 5.6444 6.6672 Å, 90.00 90.00 120.00°
Last column: nearest neighbours and their distance in Å.
Space group P-3m1 (No. 164)
Asymmetric unit:
1 K 0.3333 0.6667 0.3702  4 O 2.50-2.68
2 Ac 0.0000 0.0000 0.0000  6 O 2.70
3 S 0.0000 0.0000 0.5000  6 O 1.64
4 O 0.1350 0.2700 0.6470  1 S 1.64
5 O 0.3333 0.6667 0.9953  1 K 2.50

Computed properties:
The magnetization is 5.004 μB/f.u. As for the calculated total energy: -5.20 eV per atom.

Material: KAcSO5
Method: DFT, PBE
State: optimized geometry

Cell: 7.9543 10.0764 8.4694 Å, 90.00 115.14 90.00°
Last column: nearest neighbours and their distance in Å.
Space group C2/c (No. 15)
Asymmetric unit:
1 K 0.0000 0.1642 0.2500  1 O 2.50
2 Ac 0.0000 0.5000 0.0000  2 O 2.29
3 S 0.0000 0.1755 0.7500  4 O 1.50
4 O 0.0000 0.4122 0.2500  2 Ac 2.29, 1 K 2.50
5 O 0.0764 0.2612 0.6515  1 S 1.50
6 O 0.1493 0.0883 0.8752  1 S 1.50

Computed properties:
The magnetization is 0.000 μB/f.u. As for the calculated total energy: -6.44 eV per atom.

Material: KAc2SO5
Method: DFT, PBE
State: optimized geometry

Cell: 7.2587 7.2587 11.9952 Å, 90.00 90.00 90.00°
Last column: nearest neighbours and their distance in Å.
Space group I4/mcm (No. 140)
Asymmetric unit:
1 K 0.0000 0.0000 0.2500  10 O 3.00-3.22
2 Ac 0.1788 0.3212 0.0000  8 O 2.49-2.72
3 S 0.0000 0.5000 0.2500  4 O 1.99
4 O 0.0000 0.0000 0.0000  4 Ac 2.67
5 O 0.1286 0.3714 0.3741  1 S 1.99

Computed properties:
The magnetization is 1.032 μB/f.u. As for the calculated total energy: -6.22 eV per atom.